P) DFT (PBE-GGA) results for CsS2BrCl after structural relaxation.

Results
Space group = P4/mmm (123)

a b c (Å): 5.650 5.650 6.291
angles (deg): 90.00 90.00 90.00
Last column: magnetic moment on the atom in μB.
Positions (direct):
Cs  0.000  0.000  0.000  0.09
S  0.000  0.500  0.000  0.79
S  0.500  0.000  0.000  0.79
Br  0.500  0.500  0.500  0.64
Cl  0.000  0.000  0.500  0.34

Q) DFT (PBE-GGA) results for CsS2BrCl after structural relaxation.

Results
Space group = P4/mmm (123)

a b c (Å): 4.918 4.918 6.812
angles (deg): 90.00 90.00 90.00
Positions (direct):
Cs  0.500  0.500  0.500
S  0.500  0.000  0.000
S  0.000  0.500  0.000
Cl  0.000  0.000  0.500
Br  0.000  0.000  0.000

Energy above the most stable structure, in meV/atom: P) 947; Q) 0

P) DFT (PBE-GGA) results for CsSeBr2Cl after structural relaxation.

Results
Space group = P4/mmm (123)

a b c (Å): 6.463 6.463 4.753
angles (deg): 90.00 90.00 90.00
Last column: magnetic moment on the atom in μB.
Positions (direct):
Cl  0.000  0.000  0.000  0.32
Br  0.000  0.500  0.000  0.32
Br  0.500  0.000  0.000  0.32
Se  0.000  0.000  0.500  0.62
Cs  0.500  0.500  0.500  0.00

Q) DFT (PBE-GGA) results for CsSeBr2Cl after structural relaxation.

Results
Space group = P4/mmm (123)

a b c (Å): 5.460 5.460 5.593
angles (deg): 90.00 90.00 90.00
Positions (direct):
Br  0.000  0.500  0.000
Br  0.500  0.000  0.000
Cl  0.000  0.000  0.500
Cs  0.500  0.500  0.500
Se  0.000  0.000  0.000

R) DFT (PBE-GGA) results for CsSeBr2Cl after structural relaxation.

Results
Space group = P4/mmm (123)

a b c (Å): 6.929 6.929 7.765
angles (deg): 90.00 90.00 90.00
Last column: magnetic moment on the atom in μB.
Positions (direct):
Cs  0.000  0.000  0.000  0.01
Se  0.000  0.000  0.500  1.22
Br  0.000  0.500  0.000  0.40
Br  0.500  0.000  0.000  0.40
Cl  0.500  0.500  0.500  0.53

Energy above the most stable structure, in meV/atom: P) 483; Q) 0; R) 1069

P) DFT (PBE-GGA) results for Cs2TaBrCl6 after structural relaxation.

Results
Space group = P-1 (2)

a b c (Å): 11.839 10.496 10.178
angles (deg): 32.66 37.56 46.27
Last column: magnetic moment on the atom in μB.
Positions (direct):
Cl  0.387  0.156  0.337  0.00
Cl  0.245  0.477  0.766  0.00
Cl  0.055  0.086  0.477  0.00
Cl  0.125  0.622  0.063  0.00
Cl  0.507  0.010  0.040  0.00
Cl  0.577  0.546  0.626  0.00
Br  0.816  0.816  0.551  0.07
Cs  0.890  0.219  0.859  0.00
Cs  0.742  0.414  0.244  0.00
Ta  0.316  0.316  0.052  0.00

Q) DFT (PBE-GGA) results for Cs2TaBrCl6 after structural relaxation.

Results
Space group = Fm-3m (225)

a b c (Å): 8.198 8.198 8.200
angles (deg): 60.01 60.01 90.00
Positions (direct):
Ta  0.000  0.000  0.000
Cl  0.205  0.205  0.590
Cl  0.205  0.795  0.000
Cl  0.795  0.205  0.000
Cl  0.205  0.205  0.000
Cl  0.795  0.795  0.000
Cl  0.795  0.795  0.410
Br  0.500  0.500  0.000
Cs  0.750  0.250  0.500
Cs  0.250  0.750  0.500

Energy above the most stable structure, in meV/atom: P) 0; Q) 100

P) DFT (PBE-GGA) results for Cs2TaBr6Cl after structural relaxation.

Results
Space group = P1 (1)

a b c (Å): 9.458 9.457 7.668
angles (deg): 51.65 51.67 59.87
Last column: magnetic moment on the atom in μB.
Positions (direct):
Ta  0.316  0.316  0.051  0.00
Br  0.193  0.022  0.327  0.00
Br  0.022  0.460  0.324  0.00
Br  0.439  0.611  0.776  0.00
Br  0.458  0.194  0.325  0.00
Br  0.611  0.173  0.779  0.00
Br  0.174  0.438  0.778  0.00
Cs  0.015  0.016  0.953  0.00
Cs  0.616  0.616  0.151  0.00
Cl  0.816  0.816  0.552  0.08

Q) DFT (PBE-GGA) results for Cs2TaBr6Cl after structural relaxation.

Results
Space group = Fm-3m (225)

a b c (Å): 8.323 8.323 8.325
angles (deg): 60.01 60.01 90.00
Positions (direct):
Cl  0.500  0.500  0.000
Cs  0.250  0.750  0.500
Cs  0.750  0.250  0.500
Br  0.783  0.217  0.000
Br  0.217  0.783  0.000
Br  0.784  0.784  0.433
Br  0.217  0.217  0.000
Br  0.216  0.216  0.567
Br  0.783  0.783  0.000
Ta  0.000  0.000  0.000

Energy above the most stable structure, in meV/atom: P) 0; Q) 74

P) DFT (PBE-GGA) results for CsTlBrCl after structural relaxation.

Results
Space group = F-43m (216)

a b c (Å): 5.844 5.844 5.844
angles (deg): 60.00 60.00 60.00
Positions (direct):
Cs  0.750  0.750  0.750
Tl  0.250  0.250  0.250
Cl  0.000  0.000  0.000
Br  0.500  0.500  0.500

Q) DFT (PBE-GGA) results for CsTlBrCl after structural relaxation.

Results
Space group = R3m (160)

a b c (Å): 5.789 5.789 6.953
angles (deg): 65.40 65.40 60.00
Positions (direct):
Cs  0.471  0.471  0.587
Tl  0.988  0.988  0.037
Br  0.672  0.672  0.985
Cl  0.146  0.146  0.562

Energy above the most stable structure, in meV/atom: P) 13; Q) 0

P) DFT (PBE-GGA) results for Cs2ZrBr6Cl after structural relaxation.

Results
Space group = P1 (1)

a b c (Å): 8.601 8.198 7.836
angles (deg): 61.47 62.80 64.28
Positions (direct):
Cs  0.075  0.035  0.826
Cs  0.555  0.597  0.307
Br  0.559  0.112  0.834
Br  0.503  0.142  0.333
Br  0.494  0.585  0.846
Br  0.078  0.522  0.868
Br  0.139  0.048  0.288
Br  0.127  0.489  0.347
Cl  0.815  0.816  0.302
Zr  0.317  0.316  0.064

Q) DFT (PBE-GGA) results for Cs2ZrBr6Cl after structural relaxation.

Results
Space group = I4/mmm (139)

a b c (Å): 8.196 8.196 8.462
angles (deg): 61.04 61.04 90.00
Last column: magnetic moment on the atom in μB.
Positions (direct):
Br  0.215  0.215  0.571  0.01
Br  0.229  0.771  0.000  0.07
Br  0.771  0.229  0.000  0.07
Br  0.785  0.785  0.429  0.01
Br  0.771  0.771  0.000  0.07
Br  0.229  0.229  0.000  0.07
Cs  0.750  0.250  0.500  0.00
Cs  0.250  0.750  0.500  0.00
Zr  0.000  0.000  0.000  0.02
Cl  0.500  0.500  0.000  0.47

Energy above the most stable structure, in meV/atom: P) 0; Q) 86

P) DFT (PBE-GGA) results for CuBrCl after structural relaxation.

Results
Space group = I4mm (107)

a b c (Å): 7.643 7.643 7.643
angles (deg): 155.17 155.17 35.41
Positions (direct):
Cl  0.244  0.244  0.000
Br  0.960  0.960  0.000
Cu  0.796  0.796  0.000

Q) DFT (PBE-GGA) results for CuBrCl after structural relaxation.

Results
Space group = P-1 (2)

a b c (Å): 3.399 7.184 8.452
angles (deg): 103.13 65.93 73.98
Last column: magnetic moment on the atom in μB.
Positions (direct):
Br  0.305  0.888  0.881  0.17
Br  0.071  0.365  0.344  0.18
Cl  0.089  0.337  0.837  0.14
Cl  0.286  0.916  0.389  0.14
Cu  0.686  0.127  0.368  0.37
Cu  0.691  0.126  0.858  0.37

Energy above the most stable structure, in meV/atom: P) 195; Q) 0

P) DFT (PBE-GGA) results for Cu3BrCl after structural relaxation.

Results
Space group = Pm-3m (221)

a b c (Å): 4.810 4.810 4.810
angles (deg): 90.00 90.00 90.00
Positions (direct):
Cu  0.000  0.500  0.000
Cu  0.000  0.000  0.500
Cu  0.500  0.000  0.000
Cl  0.500  0.500  0.500
Br  0.000  0.000  0.000

Q) DFT (PBE-GGA) results for Cu3BrCl after structural relaxation.

Results
Space group = Pm-3m (221)

a b c (Å): 4.642 4.642 4.642
angles (deg): 90.00 90.00 90.00
Positions (direct):
Cl  0.000  0.000  0.000
Cu  0.000  0.000  0.500
Cu  0.000  0.500  0.000
Cu  0.500  0.000  0.000
Br  0.500  0.500  0.500

Energy above the most stable structure, in meV/atom: P) 97; Q) 0